(1)
A plane-wave DFT calculation with GGA-PBE was carried out for a geometry-optimized Cd10PdPt4 structure.

Unit cell a=6.4512 b=7.9050 c=7.9050 alpha=80.42 beta=65.92 gamma=65.92
Atoms (fractional coordinates):
1 Pt 0.6003 0.1994 0.6001
2 Cd 0.3497 0.7001 0.1006
3 Cd 0.7500 0.5000 0.5000
4 Cd 0.1504 0.2999 0.8994
5 Cd 0.4503 0.8994 0.7001
6 Cd 0.6503 0.2999 0.8994
7 Pt 0.3997 0.8006 0.3999
8 Pt 0.7997 0.6001 0.8006
9 Pd 0.0000 0.0000 0.0000
10 Cd 0.8496 0.7001 0.1006
11 Cd 0.2500 0.5000 0.5000
12 Cd 0.5497 0.1006 0.2999
13 Pt 0.2003 0.3999 0.1994
14 Cd 0.9502 0.8994 0.7001
15 Cd 0.0498 0.1006 0.2999

Computed properties:
- volume (Å³/cell) = 336.0
- energy relative to the elements (eV per formula unit) = -3.42
- density (g/cm³) = 9.94
- DOS at the Fermi energy (states/eV per cell) = 5.94

(2)
A plane-wave DFT calculation with GGA-PBE was carried out for a geometry-optimized Tm4TlPt2 structure.

Unit cell a=4.7179 b=7.2567 c=10.1124 alpha=90.00 beta=90.00 gamma=90.00
Atoms (fractional coordinates):
1 Tm 0.0000 0.2504 0.2502
2 Tl 0.0000 0.0000 0.5000
3 Tm 0.5000 0.2750 0.5002
4 Pt 0.5000 0.0000 0.7664
5 Tm 0.0000 0.7496 0.7498
6 Tm 0.5000 0.7250 0.4998
7 Pt 0.5000 0.5000 0.2664
8 Pt 0.5000 0.0000 0.2336
9 Tm 0.0000 0.2496 0.7502
10 Tm 0.5000 0.2250 0.0002
11 Pt 0.5000 0.5000 0.7336
12 Tm 0.5000 0.7750 0.9998
13 Tl 0.0000 0.5000 0.0000
14 Tm 0.0000 0.7504 0.2498

Computed properties:
- volume (Å³/cell) = 346.2
- energy relative to the elements (eV per formula unit) = -5.44
- density (g/cm³) = 12.19
- DOS at the Fermi energy (states/eV per cell) = 10.46

no.,calculated total energy (Ry per atom)
1,-0.2055
2,-0.3966